Entry from the Alexandria database: an optimized crystal structure of Ac3Ta2N4O3 (GGA-PBE). Values from VASP.

Structure (Quantum ESPRESSO input):
```
&SYSTEM
  ibrav = 0, nat = 12, ntyp = 4
/
ATOMIC_SPECIES
O 16.00 O.upf
Ta 180.95 Ta.upf
N 14.01 N.upf
Ac 227.00 Ac.upf
CELL_PARAMETERS angstrom
-2.6681 -2.5557 -1.8826
1.0505 -2.9814 2.5587
-6.9485 5.8642 6.4538
ATOMIC_POSITIONS crystal
O 0.9109 0.4086 0.8171
O 0.0938 0.5914 0.1829
O 0.0020 0.0000 0.0000
Ta 0.1029 0.1005 0.2011
Ta 0.9018 0.8995 0.7989
N 0.8085 0.8063 0.6125
N 0.5954 0.0931 0.1863
N 0.4092 0.9069 0.8137
N 0.1960 0.1937 0.3875
Ac 0.6882 0.6859 0.3717
Ac 0.5026 0.5000 0.0000
Ac 0.3164 0.3141 0.6283
```

Calculated values
SG: Immm (71)
Formation energy (no corrections) (eV/atom): -2.036
D(E_F) (states/eV/f.u.): 1.9

***

Entry from the Alexandria database: an optimized crystal structure of Ac3Ta2N5O2 (GGA-PBE). Values from VASP.

Structure (Quantum ESPRESSO input):
```
&SYSTEM
  ibrav = 0, nat = 12, ntyp = 4
/
ATOMIC_SPECIES
N 14.01 N.upf
O 16.00 O.upf
Ta 180.95 Ta.upf
Ac 227.00 Ac.upf
CELL_PARAMETERS angstrom
4.1292 0.0000 0.0000
0.0000 4.1292 0.0000
-2.0646 -2.0646 10.6997
ATOMIC_POSITIONS crystal
N 0.5000 0.5000 0.0000
N 0.1017 0.6017 0.2035
N 0.3983 0.8983 0.7965
N 0.6017 0.1017 0.2035
N 0.8983 0.3983 0.7965
O 0.7014 0.7014 0.4028
O 0.2986 0.2986 0.5972
Ta 0.5939 0.5939 0.1878
Ta 0.4061 0.4061 0.8122
Ac 0.1813 0.1813 0.3626
Ac 0.8187 0.8187 0.6374
Ac 0.0000 0.0000 0.0000
```

Calculated values
SG: I4/mmm (139)
Formation energy (no corrections) (eV/atom): -1.863
D(E_F) (states/eV/f.u.): 0.1

***

Entry from the Alexandria database: an optimized crystal structure of AcTiNO2 (GGA-PBE). Values from VASP.

Structure (Quantum ESPRESSO input):
```
&SYSTEM
  ibrav = 0, nat = 5, ntyp = 4
/
ATOMIC_SPECIES
O 16.00 O.upf
Ac 227.00 Ac.upf
N 14.01 N.upf
Ti 47.87 Ti.upf
CELL_PARAMETERS angstrom
3.9362 0.0000 0.0000
0.0000 3.9362 0.0000
0.0000 0.0001 4.3964
ATOMIC_POSITIONS crystal
O 0.0000 0.5000 0.9649
O 0.5000 0.0000 0.9650
Ac 0.5000 0.5000 0.5599
N 0.0000 0.0000 0.4605
Ti 0.0000 0.0000 0.0497
```

Calculated values
SG: P4mm (99)
Formation energy (no corrections) (eV/atom): -2.642
D(E_F) (states/eV/f.u.): 0.0

***

Entry from the Alexandria database: an optimized crystal structure of Ac6Tl2NO (GGA-PBE). Values from VASP.

Structure (Quantum ESPRESSO input):
```
&SYSTEM
  ibrav = 0, nat = 20, ntyp = 4
/
ATOMIC_SPECIES
N 14.01 N.upf
Ac 227.00 Ac.upf
O 16.00 O.upf
Tl 204.38 Tl.upf
CELL_PARAMETERS angstrom
7.5457 0.0000 0.0000
0.0000 7.5457 0.0000
0.0000 0.0000 10.6941
ATOMIC_POSITIONS crystal
N 0.0000 0.7504 0.0000
N 0.5000 0.2496 0.5000
Ac 0.5000 0.2499 0.7478
Ac 0.2480 0.5025 0.0000
Ac 0.0000 0.7501 0.2478
Ac 0.2520 0.4975 0.5000
Ac 0.5000 0.2499 0.2522
Ac 0.2478 0.9983 0.0000
Ac 0.0000 0.7501 0.7522
Ac 0.7522 0.9983 0.0000
Ac 0.2522 0.0017 0.5000
Ac 0.7478 0.0017 0.5000
Ac 0.7520 0.5025 0.0000
Ac 0.7480 0.4975 0.5000
O 0.5000 0.2505 0.0000
O 0.0000 0.7495 0.5000
Tl 0.5000 0.7500 0.2499
Tl 0.0000 0.2500 0.7499
Tl 0.0000 0.2500 0.2501
Tl 0.5000 0.7500 0.7501
```

Calculated values
SG: Pmmn (59)
Formation energy (no corrections) (eV/atom): -0.939
D(E_F) (states/eV/f.u.): 6.0

***

Entry from the Alexandria database: an optimized crystal structure of Ac2TmN2O2 (GGA-PBE). Values from VASP.

Structure (Quantum ESPRESSO input):
```
&SYSTEM
  ibrav = 0, nat = 7, ntyp = 4
/
ATOMIC_SPECIES
Tm 168.93 Tm.upf
Ac 227.00 Ac.upf
N 14.01 N.upf
O 16.00 O.upf
CELL_PARAMETERS angstrom
-4.2755 0.7726 0.1244
-0.6868 -3.3736 -2.6532
1.9188 -2.6427 6.4238
ATOMIC_POSITIONS crystal
Tm 0.0000 0.0000 0.0000
Ac 0.3615 0.3615 0.7229
Ac 0.6385 0.6385 0.2771
N 0.0000 0.5000 0.0000
N 0.5000 0.0000 0.0000
O 0.8217 0.8217 0.6433
O 0.1783 0.1783 0.3567
```

Calculated values
SG: I4/mmm (139)
Formation energy (no corrections) (eV/atom): -2.015
D(E_F) (states/eV/f.u.): 2.5

***

Entry from the Alexandria database: an optimized crystal structure of AcUN2O (GGA-PBE). Values from VASP.

Structure (Quantum ESPRESSO input):
```
&SYSTEM
  ibrav = 0, nat = 10, ntyp = 4
/
ATOMIC_SPECIES
O 16.00 O.upf
N 14.01 N.upf
U 238.03 U.upf
Ac 227.00 Ac.upf
CELL_PARAMETERS angstrom
-1.9774 2.6800 -5.1277
-3.1621 -5.0386 -1.4140
-0.9063 2.7537 5.4342
ATOMIC_POSITIONS crystal
O 0.7500 0.7500 0.5000
O 0.2500 0.2500 0.5000
N 0.6903 0.1903 0.0000
N 0.3097 0.8097 0.0000
N 0.1903 0.3097 0.0000
N 0.8097 0.6903 0.0000
U 0.5000 0.5000 0.0000
U 0.0000 0.0000 0.0000
Ac 0.2502 0.7502 0.5003
Ac 0.7502 0.2502 0.5003
```

Calculated values
SG: I4/mcm (140)
Formation energy (no corrections) (eV/atom): -1.955
D(E_F) (states/eV/f.u.): 2.4

***

Entry from the Alexandria database: an optimized crystal structure of AcZnNO (GGA-PBE). Values from VASP.

Structure (Quantum ESPRESSO input):
```
&SYSTEM
  ibrav = 0, nat = 4, ntyp = 4
/
ATOMIC_SPECIES
N 14.01 N.upf
Ac 227.00 Ac.upf
O 16.00 O.upf
Zn 65.41 Zn.upf
CELL_PARAMETERS angstrom
3.5315 0.0000 0.0000
0.0000 3.9291 0.0000
0.0000 0.0000 4.5099
ATOMIC_POSITIONS crystal
N 0.0000 0.5000 0.0000
Ac 0.5000 0.5000 0.5000
O 0.0000 0.0000 0.5000
Zn 0.0000 0.0000 0.0000
```

Calculated values
SG: Pmmm (47)
Formation energy (no corrections) (eV/atom): -1.320
D(E_F) (states/eV/f.u.): 1.6

***

Entry from the Alexandria database: an optimized crystal structure of Ac2OsN4 (GGA-PBE). Values from VASP.

Structure (Quantum ESPRESSO input):
```
&SYSTEM
  ibrav = 0, nat = 14, ntyp = 3
/
ATOMIC_SPECIES
N 14.01 N.upf
Os 190.23 Os.upf
Ac 227.00 Ac.upf
CELL_PARAMETERS angstrom
6.2946 0.0000 0.2576
0.0000 5.7706 0.0000
-2.0323 0.0000 7.0066
ATOMIC_POSITIONS crystal
N 0.4844 0.9729 0.2581
N 0.0625 0.7500 0.3615
N 0.5156 0.4729 0.7419
N 0.5156 0.0271 0.7419
N 0.8893 0.2500 0.0438
N 0.9375 0.2500 0.6385
N 0.4844 0.5271 0.2581
N 0.1107 0.7500 0.9562
Os 0.2420 0.7500 0.2013
Os 0.7580 0.2500 0.7987
Ac 0.2613 0.2500 0.4532
Ac 0.7387 0.7500 0.5468
Ac 0.7054 0.7500 0.0321
Ac 0.2946 0.2500 0.9679
```

Calculated values
SG: P2_1/m (11)
Formation energy (no corrections) (eV/atom): -0.588

***

Entry from the Alexandria database: an optimized crystal structure of AcOsN4 (GGA-PBE). Values from VASP.

Structure (Quantum ESPRESSO input):
```
&SYSTEM
  ibrav = 0, nat = 12, ntyp = 3
/
ATOMIC_SPECIES
Os 190.23 Os.upf
N 14.01 N.upf
Ac 227.00 Ac.upf
CELL_PARAMETERS angstrom
-0.3991 4.8330 -2.4030
-3.1228 1.7586 4.0556
7.1768 -1.2222 2.4447
ATOMIC_POSITIONS crystal
Os 0.5000 0.5000 0.0000
Os 0.2500 0.7500 0.5000
N 0.1722 0.4022 0.3445
N 0.0577 0.8278 0.6555
N 0.1722 0.9423 0.3445
N 0.5778 0.8478 0.1555
N 0.5778 0.3077 0.1555
N 0.1522 0.4222 0.8445
N 0.6923 0.4222 0.8445
N 0.5978 0.8278 0.6555
Ac 0.0000 0.0000 0.0000
Ac 0.7500 0.2500 0.5000
```

Calculated values
SG: I4_1/amd (141)
Formation energy (no corrections) (eV/atom): 0.051
D(E_F) (states/eV/f.u.): 3.5

***

Entry from the Alexandria database: an optimized crystal structure of Ac3Os5N12 (GGA-PBE). Values from VASP.

Structure (Quantum ESPRESSO input):
```
&SYSTEM
  ibrav = 0, nat = 80, ntyp = 3
/
ATOMIC_SPECIES
N 14.01 N.upf
Ac 227.00 Ac.upf
Os 190.23 Os.upf
CELL_PARAMETERS angstrom
11.4202 0.0000 0.0000
-3.8067 10.7671 0.0000
-3.8067 -5.3835 9.3245
ATOMIC_POSITIONS crystal
N 0.1838 0.0732 0.6848
N 0.1115 0.4268 0.1105
N 0.8152 0.4990 0.3885
N 0.0732 0.8895 0.3885
N 0.3895 0.3885 0.5732
N 0.8152 0.3162 0.9268
N 0.6848 0.5732 0.1838
N 0.8895 0.8162 0.5010
N 0.4268 0.3152 0.3162
N 0.5732 0.6848 0.6838
N 0.1848 0.5010 0.6115
N 0.9268 0.8162 0.8152
N 0.6115 0.6105 0.9268
N 0.1105 0.9268 0.1115
N 0.3885 0.3895 0.0732
N 0.6838 0.4990 0.6105
N 0.0732 0.1838 0.1848
N 0.6848 0.1115 0.0010
N 0.9990 0.6105 0.1838
N 0.8162 0.9268 0.3152
N 0.0010 0.3895 0.8162
N 0.3162 0.5010 0.3895
N 0.3162 0.8152 0.4268
N 0.4990 0.6838 0.1105
N 0.1115 0.6848 0.5010
N 0.5010 0.1848 0.1115
N 0.1848 0.6838 0.0732
N 0.8895 0.0732 0.8885
N 0.8885 0.5732 0.8895
N 0.3885 0.9990 0.8152
N 0.4268 0.1115 0.6105
N 0.5010 0.3162 0.8895
N 0.9990 0.3885 0.3152
N 0.8885 0.3152 0.4990
N 0.5732 0.8885 0.3895
N 0.6105 0.6115 0.4268
N 0.6105 0.9990 0.6838
N 0.4990 0.8152 0.8885
N 0.6838 0.1848 0.5732
N 0.3152 0.4268 0.8162
N 0.9268 0.1105 0.6115
N 0.1838 0.1105 0.9990
N 0.8162 0.8895 0.0010
N 0.3895 0.0010 0.3162
N 0.0010 0.6115 0.6848
N 0.1105 0.1838 0.4990
N 0.3152 0.8885 0.9990
N 0.6115 0.0010 0.1848
Ac 0.3750 0.7500 0.6250
Ac 0.2500 0.6250 0.8750
Ac 0.1250 0.8750 0.7500
Ac 0.2500 0.1250 0.3750
Ac 0.7500 0.3750 0.1250
Ac 0.7500 0.8750 0.6250
Ac 0.6250 0.3750 0.7500
Ac 0.3750 0.6250 0.2500
Ac 0.8750 0.7500 0.1250
Ac 0.8750 0.1250 0.2500
Ac 0.1250 0.2500 0.8750
Ac 0.6250 0.2500 0.3750
Os 0.0000 0.0000 0.0000
Os 0.0000 0.0000 0.5000
Os 0.2500 0.3750 0.6250
Os 0.8750 0.2500 0.6250
Os 0.0000 0.5000 0.0000
Os 0.3750 0.1250 0.7500
Os 0.0000 0.5000 0.5000
Os 0.8750 0.6250 0.7500
Os 0.1250 0.7500 0.3750
Os 0.3750 0.2500 0.1250
Os 0.5000 0.5000 0.5000
Os 0.5000 0.0000 0.0000
Os 0.5000 0.5000 0.0000
Os 0.1250 0.3750 0.2500
Os 0.6250 0.7500 0.8750
Os 0.6250 0.8750 0.2500
Os 0.7500 0.1250 0.8750
Os 0.2500 0.8750 0.1250
Os 0.7500 0.6250 0.3750
Os 0.5000 0.0000 0.5000
```

Calculated values
SG: Ia-3d (230)
Formation energy (no corrections) (eV/atom): -0.203
D(E_F) (states/eV/f.u.): 4.9

***

Entry from the Alexandria database: an optimized crystal structure of AcOsN3 (GGA-PBE). Values from VASP.

Structure (Quantum ESPRESSO input):
```
&SYSTEM
  ibrav = 0, nat = 10, ntyp = 3
/
ATOMIC_SPECIES
Ac 227.00 Ac.upf
N 14.01 N.upf
Os 190.23 Os.upf
CELL_PARAMETERS angstrom
-0.2888 2.1337 -3.6930
2.4798 -4.8090 -2.9724
-6.1958 -3.1694 -0.0413
ATOMIC_POSITIONS crystal
Ac 0.8280 0.7500 0.2137
Ac 0.1720 0.2500 0.7863
N 0.2551 0.7500 0.5303
N 0.3062 0.4930 0.1539
N 0.7449 0.2500 0.4697
N 0.6938 0.9930 0.8461
N 0.3062 0.0070 0.1539
N 0.6938 0.5070 0.8461
Os 0.5863 0.7500 0.7145
Os 0.4137 0.2500 0.2855
```

Calculated values
SG: P2_1/m (11)
Formation energy (no corrections) (eV/atom): -0.282

***

Entry from the Alexandria database: an optimized crystal structure of Ac2OsN4 (GGA-PBE). Values from VASP.

Structure (Quantum ESPRESSO input):
```
&SYSTEM
  ibrav = 0, nat = 14, ntyp = 3
/
ATOMIC_SPECIES
Os 190.23 Os.upf
Ac 227.00 Ac.upf
N 14.01 N.upf
CELL_PARAMETERS angstrom
5.3561 0.0000 -1.6997
0.0000 5.9643 0.0000
0.1897 0.0000 7.5652
ATOMIC_POSITIONS crystal
Os 0.1281 0.7500 0.7560
Os 0.8719 0.2500 0.2440
Ac 0.7161 0.7500 0.9950
Ac 0.6174 0.2500 0.6263
Ac 0.2839 0.2500 0.0050
Ac 0.3826 0.7500 0.3737
N 0.6798 0.4896 0.2812
N 0.7910 0.7500 0.6625
N 0.7978 0.2500 0.9783
N 0.2022 0.7500 0.0217
N 0.3202 0.5104 0.7188
N 0.2090 0.2500 0.3375
N 0.3202 0.9896 0.7188
N 0.6798 0.0104 0.2812
```

Calculated values
SG: P2_1/m (11)
Formation energy (no corrections) (eV/atom): -0.580
D(E_F) (states/eV/f.u.): 1.8